Here is CdMo2Ru after structural relaxation from the Alexandria database. Energies are from PBE.

Cell: 9.648 9.648 9.648 Å, 16.81 16.81 16.81°
Positions (direct):
Cd 0.000 0.000 0.000
Mo 0.243 0.243 0.243
Mo 0.757 0.757 0.757
Ru 0.500 0.500 0.500

Results
E_form: 27.4 kJ/mol of atoms
Total magnetic moment: 0.00 μB per formula unit
Space-group type: R-3m



Here is CdMo2Ru after structural relaxation from the Alexandria database. Energies are from PBE.

Cell: 3.152 3.152 6.753 Å, 90.00 90.00 90.00°
Positions (direct):
Cd 0.000 0.000 0.000
Mo 0.000 0.000 0.517
Mo 0.500 0.500 0.289
Ru 0.500 0.500 0.723

Results
E_form: 30.8 kJ/mol of atoms
Total magnetic moment: 0.00 μB per formula unit
Space-group type: P4mm



Here is CdMo2Ru after structural relaxation from the Alexandria database. Energies are from PBE.

Cell: 3.922 3.922 4.186 Å, 90.00 90.00 90.00°
Positions (direct):
Cd 0.000 0.000 0.000
Mo 0.000 0.500 0.500
Mo 0.500 0.000 0.500
Ru 0.500 0.500 0.000

Results
E_form: 39.9 kJ/mol of atoms
Total magnetic moment: 0.00 μB per formula unit
Space-group type: P4/mmm



Question: E_form of number 2 (CdMo2Ru)?
Answer: 30.8 kJ/mol of atoms